No. 1
# Pm2NiIr (PBEsol, relaxed)
# - formation enthalpy at 0 K (eV/atom) = -0.439
# - DOS at the Fermi energy (states/eV/f.u.) = 2.30
# - total magnetic moment (μB/cell) = 0.0
# - mass density (Mg/m³) = 11.009
data_Pm2NiIr
_chemical_formula_sum 'Pm8 Ni4 Ir4'
_symmetry_space_group_name_H-M 'F m -3 m'
_symmetry_Int_Tables_number 225
_symmetry_space_group_name_Hall '-F 4 2 3'
_cell_length_a 6.885
_cell_length_b 6.885
_cell_length_c 6.885
_cell_angle_alpha 90.00
_cell_angle_beta 90.00
_cell_angle_gamma 90.00
loop_
_atom_site_label
_atom_site_type_symbol
_atom_site_fract_x
_atom_site_fract_y
_atom_site_fract_z
_atom_site_occupancy
Pm1 Pm 0.250 0.250 0.250 1
Ni1 Ni 0.000 0.000 0.000 1
Ir1 Ir 0.000 0.000 0.500 1

No. 2
# Pr2NiIr (PBEsol, relaxed)
# - formation enthalpy at 0 K (eV/atom) = -0.342
# - DOS at the Fermi energy (states/eV/f.u.) = 2.40
# - total magnetic moment (μB/cell) = 0.0
# - mass density (Mg/m³) = 10.365
data_Pr2NiIr
_chemical_formula_sum 'Pr8 Ni4 Ir4'
_symmetry_space_group_name_H-M 'F m -3 m'
_symmetry_Int_Tables_number 225
_symmetry_space_group_name_Hall '-F 4 2 3'
_cell_length_a 6.989
_cell_length_b 6.989
_cell_length_c 6.989
_cell_angle_alpha 90.00
_cell_angle_beta 90.00
_cell_angle_gamma 90.00
loop_
_atom_site_label
_atom_site_type_symbol
_atom_site_fract_x
_atom_site_fract_y
_atom_site_fract_z
_atom_site_occupancy
Pr1 Pr 0.250 0.250 0.250 1
Ni1 Ni 0.000 0.000 0.000 1
Ir1 Ir 0.000 0.000 0.500 1

No. 3
# Ni2IrPt (PBEsol, relaxed)
# - formation enthalpy at 0 K (eV/atom) = 0.002
# - DOS at the Fermi energy (states/eV/f.u.) = 5.38
# - total magnetic moment (μB/cell) = 0.0
# - mass density (Mg/m³) = 16.770
data_Ni2IrPt
_chemical_formula_sum 'Ni4 Ir2 Pt2'
_symmetry_space_group_name_H-M 'I 4/m m m'
_symmetry_Int_Tables_number 139
_symmetry_space_group_name_Hall '-I 4 2'
_cell_length_a 3.771
_cell_length_b 3.771
_cell_length_c 7.029
_cell_angle_alpha 90.00
_cell_angle_beta 90.00
_cell_angle_gamma 90.00
loop_
_atom_site_label
_atom_site_type_symbol
_atom_site_fract_x
_atom_site_fract_y
_atom_site_fract_z
_atom_site_occupancy
Ni1 Ni 0.000 0.500 0.250 1
Ir1 Ir 0.000 0.000 0.000 1
Pt1 Pt 0.000 0.000 0.500 1